No. 1
Below is crystalline ZrTl2Ag at its relaxed geometry, with properties calculated at the PBE level.

Properties
- Energy above the lowest structure with this stoichiometry: 91 meV per atom
- Magnetization: 0.00 μB per cell
- Formation energy from the elements: 0.408 eV/f.u.
- Symmetry: No. 123

Lattice parameters (Å, degrees): 3.415 3.415 7.722 90.00 90.00 90.00
Fractional positions:
Ag: 0.500 0.500 0.750
Tl: 0.000 0.000 0.991
Tl: 0.000 0.000 0.509
Zr: 0.500 0.500 0.250



No. 2
Below is crystalline NaMoS2N at its relaxed geometry, with properties calculated at the PBE level.

Properties
- Energy above the lowest structure with this stoichiometry: 2207 meV per atom
- Magnetization: 0.00 μB per cell
- Formation energy from raw total energies: 1936 meV per atom
- Symmetry: No. 123

Lattice parameters (Å, degrees): 4.671 4.671 3.847 90.00 90.00 90.00
Fractional positions:
Na: 0.000 0.000 0.000
Mo: 0.500 0.500 0.500
S: 0.000 0.500 0.000
S: 0.500 0.000 0.000
N: 0.000 0.000 0.500



No. 3
Below is crystalline Li2InTeSe4 at its relaxed geometry, with properties calculated at the PBE level.

Properties
- Magnetization: 0.00 μB per cell
- Formation energy from raw total energies: -572 meV per atom
- Symmetry: No. 15

Lattice parameters (Å, degrees): 7.890 7.890 7.946 117.46 117.46 89.14
Fractional positions:
Li: 0.500 0.000 0.000
Li: 0.500 0.000 0.500
Li: 0.000 0.000 0.500
Li: 0.500 0.500 0.000
In: 0.000 0.500 0.000
In: 0.000 0.500 0.500
Te: 0.500 0.500 0.500
Te: 0.000 0.000 0.000
Se: 0.233 0.731 0.956
Se: 0.769 0.267 0.544
Se: 0.231 0.733 0.456
Se: 0.767 0.269 0.044
Se: 0.771 0.779 0.041
Se: 0.721 0.729 0.459
Se: 0.279 0.271 0.541
Se: 0.229 0.221 0.959



No. 4
Below is crystalline Mg2TlBr at its relaxed geometry, with properties calculated at the PBE level.

Properties
- Energy above the lowest structure with this stoichiometry: 87 meV per atom
- Magnetization: 0.00 μB per cell
- Formation energy from raw total energies: -277 meV per atom
- Symmetry: No. 8

Lattice parameters (Å, degrees): 6.031 6.031 5.331 87.77 87.77 32.71
Fractional positions:
Br: 0.764 0.764 0.897
Mg: 0.997 0.997 0.894
Mg: 0.238 0.238 0.309
Tl: 0.501 0.501 0.400



No. 5
Below is crystalline CrCdGa2 at its relaxed geometry, with properties calculated at the PBE level.

Properties
- Magnetization: 6.94 μB per cell
- Formation energy from the elements: 1.566 eV/f.u.
- Symmetry: No. 122

Lattice parameters (Å, degrees): 7.456 7.456 5.981 51.44 51.44 90.00
Each line ends with the local moment (μB).
Fractional positions:
Cr: 0.500 0.500 0.000  3.37
Cr: 0.250 0.750 0.500  3.37
Ga: 0.606 0.125 0.250  -0.04
Ga: 0.144 0.625 0.250  -0.05
Ga: 0.375 0.394 0.750  -0.04
Ga: 0.875 0.856 0.750  -0.04
Cd: 0.000 0.000 0.000  -0.02
Cd: 0.750 0.250 0.500  -0.02



No. 6
Below is crystalline Pm6Te3PtRh2 at its relaxed geometry, with properties calculated at the PBE level.

Properties
- Magnetization: 0.00 μB per cell
- Formation energy from raw total energies: -1101 meV per atom
- Symmetry: No. 12

Lattice parameters (Å, degrees): 4.210 8.928 9.858 107.41 102.33 90.00
Fractional positions:
Pm: 0.339 0.890 0.677
Pm: 0.675 0.563 0.351
Pm: 0.661 0.110 0.323
Pm: 0.011 0.234 0.023
Pm: 0.989 0.766 0.977
Pm: 0.325 0.437 0.649
Te: 0.500 0.500 0.000
Te: 0.835 0.165 0.670
Te: 0.165 0.835 0.330
Pt: 0.500 0.000 0.000
Rh: 0.833 0.665 0.665
Rh: 0.167 0.335 0.335



No. 7
Below is crystalline LaNdDy3Sc at its relaxed geometry, with properties calculated at the PBE level.

Properties
- Magnetization: 0.00 μB per cell
- Formation energy from the elements: 0.288 eV/f.u.
- Symmetry: No. 63

Lattice parameters (Å, degrees): 5.040 7.927 10.080 90.00 90.00 108.53
Fractional positions:
La: 0.498 0.996 0.750
La: 0.502 0.004 0.250
Nd: 0.000 0.000 0.500
Nd: 0.000 0.000 0.000
Dy: 0.670 0.339 0.501
Dy: 0.330 0.661 0.499
Dy: 0.330 0.661 0.001
Dy: 0.670 0.339 0.999
Dy: 0.172 0.343 0.750
Dy: 0.828 0.657 0.250
Sc: 0.830 0.660 0.750
Sc: 0.170 0.340 0.250



No. 8
Below is crystalline CdIn3Ga8 at its relaxed geometry, with properties calculated at the PBE level.

Properties
- Magnetization: 0.00 μB per cell
- Formation energy from the elements: 0.561 eV/f.u.
- Symmetry: No. 156

Lattice parameters (Å, degrees): 5.899 5.899 8.647 90.00 90.00 120.00
Fractional positions:
Cd: 0.000 0.000 0.566
In: 0.667 0.333 0.435
In: 0.667 0.333 0.067
In: 0.000 0.000 0.928
Ga: 0.333 0.667 0.501
Ga: 0.333 0.667 0.001
Ga: 0.504 0.008 0.749
Ga: 0.504 0.496 0.749
Ga: 0.992 0.496 0.749
Ga: 0.162 0.323 0.252
Ga: 0.162 0.838 0.252
Ga: 0.677 0.838 0.252



No. 9
Below is crystalline KLiTa2 at its relaxed geometry, with properties calculated at the PBE level.

Properties
- Energy above the lowest structure with this stoichiometry: 355 meV per atom
- Magnetization: 0.00 μB per cell
- Formation energy from the elements: 3.763 eV/f.u.
- Symmetry: No. 10

Lattice parameters (Å, degrees): 6.090 2.923 5.018 81.93 90.00 90.00
Fractional positions:
K: 0.500 0.250 0.250
Li: 0.500 0.750 0.750
Ta: 0.000 0.987 0.985
Ta: 0.000 0.513 0.515



No. 10
Below is crystalline Na2TaV2S6 at its relaxed geometry, with properties calculated at the PBE level.

Properties
- Magnetization: 0.00 μB per cell
- Formation energy from raw total energies: -1049 meV per atom
- Symmetry: No. 12

Lattice parameters (Å, degrees): 5.860 5.860 7.225 96.46 96.46 120.56
Fractional positions:
Na: 0.829 0.171 0.000
Na: 0.171 0.829 0.000
Ta: 0.000 0.000 0.500
V: 0.365 0.635 0.500
V: 0.635 0.365 0.500
S: 0.727 0.727 0.725
S: 0.055 0.404 0.697
S: 0.273 0.273 0.275
S: 0.404 0.055 0.697
S: 0.945 0.596 0.303
S: 0.596 0.945 0.303



No. 11
Below is crystalline ErPaH at its relaxed geometry, with properties calculated at the PBE level.

Properties
- Energy above the lowest structure with this stoichiometry: 404 meV per atom
- Magnetization: 0.02 μB per cell
- Symmetry: No. 62

Lattice parameters (Å, degrees): 5.560 6.511 6.525 90.00 90.00 90.00
Fractional positions:
H: 0.750 0.748 0.362
H: 0.250 0.248 0.138
H: 0.250 0.252 0.638
H: 0.750 0.752 0.862
Pa: 0.750 0.497 0.106
Pa: 0.250 0.997 0.394
Pa: 0.250 0.503 0.894
Pa: 0.750 0.003 0.606
Er: 0.750 0.991 0.120
Er: 0.250 0.491 0.380
Er: 0.250 0.009 0.880
Er: 0.750 0.509 0.620



No. 12
Below is crystalline K2RbBr at its relaxed geometry, with properties calculated at the PBE level.

Properties
- Energy above the lowest structure with this stoichiometry: 50 meV per atom
- Magnetization: 0.00 μB per cell
- Formation energy from raw total energies: -768 meV per atom
- Symmetry: No. 123

Lattice parameters (Å, degrees): 4.267 4.267 12.070 90.00 90.00 90.00
Fractional positions:
K: 0.000 0.000 0.839
K: 0.000 0.000 0.161
Br: 0.500 0.500 0.000
Rb: 0.500 0.500 0.500



No. 13
Below is crystalline Co2RePdN at its relaxed geometry, with properties calculated at the PBE level.

Properties
- Magnetization: 2.87 μB per cell
- Formation energy from raw total energies: 132 meV per atom
- Symmetry: No. 123

Lattice parameters (Å, degrees): 3.874 3.874 3.956 90.00 90.00 90.00
Each line ends with the local moment (μB).
Fractional positions:
Re: 0.000 0.000 0.500  0.19
Co: 0.000 0.500 0.000  1.28
Co: 0.500 0.000 0.000  1.28
Pd: 0.500 0.500 0.500  0.17
N: 0.000 0.000 0.000  0.00



No. 14
Below is crystalline Tb3PrDy6 at its relaxed geometry, with properties calculated at the PBE level.

Properties
- Energy above the lowest structure with this stoichiometry: 0 meV per atom
- Magnetization: 0.00 μB per cell
- Formation energy from the elements: 1.501 eV/f.u.
- Symmetry: No. 36

Lattice parameters (Å, degrees): 6.205 10.989 10.989 119.56 90.00 90.00
Fractional positions:
Tb: 0.460 0.936 0.717
Tb: 0.960 0.717 0.936
Tb: 0.070 0.390 0.610
Tb: 0.570 0.610 0.390
Tb: 0.960 0.064 0.283
Tb: 0.460 0.283 0.064
Pr: 0.145 0.205 0.795
Pr: 0.645 0.795 0.205
Dy: 0.033 0.712 0.619
Dy: 0.533 0.619 0.712
Dy: 0.367 0.539 0.960
Dy: 0.867 0.960 0.539
Dy: 0.411 0.955 0.045
Dy: 0.639 0.283 0.717
Dy: 0.139 0.717 0.283
Dy: 0.911 0.045 0.955
Dy: 0.367 0.040 0.461
Dy: 0.867 0.461 0.040
Dy: 0.033 0.381 0.288
Dy: 0.533 0.288 0.381



No. 15
Below is crystalline LuV2Fe at its relaxed geometry, with properties calculated at the PBE level.

Properties
- Magnetization: 0.53 μB per cell
- Formation energy from the elements: 1.271 eV/f.u.
- Symmetry: No. 166

Lattice parameters (Å, degrees): 4.001 4.001 5.550 68.87 68.87 60.00
Each line ends with the local moment (μB).
Fractional positions:
Lu: 0.000 0.000 0.000  0.02
Fe: 0.500 0.500 0.500  0.15
V: 0.797 0.797 0.610  0.14
V: 0.203 0.203 0.390  0.14



No. 16
Below is crystalline LaTiRhO6 at its relaxed geometry, with properties calculated at the PBE level.

Properties
- Magnetization: 2.04 μB per cell
- Formation energy from raw total energies: -2205 meV per atom
- Symmetry: No. 149

Lattice parameters (Å, degrees): 5.201 5.201 5.229 90.00 90.00 60.00
Each line ends with the local moment (μB).
Fractional positions:
La: 0.000 0.000 0.000  0.02
Ti: 0.667 0.667 0.500  -0.02
Rh: 0.333 0.333 0.500  1.02
O: 0.999 0.367 0.292  0.14
O: 0.367 0.999 0.708  0.14
O: 0.634 0.367 0.708  0.14
O: 0.999 0.634 0.708  0.14
O: 0.367 0.634 0.292  0.14
O: 0.634 0.999 0.292  0.14



No. 17
Below is crystalline MgGaI2 at its relaxed geometry, with properties calculated at the PBE level.

Properties
- Energy above the lowest structure with this stoichiometry: 61 meV per atom
- Magnetization: 0.00 μB per cell
- Formation energy from raw total energies: -217 meV per atom
- Symmetry: No. 225

Lattice parameters (Å, degrees): 5.580 5.580 5.580 60.00 60.00 60.00
Fractional positions:
I: 0.250 0.250 0.250
I: 0.750 0.750 0.750
Mg: 0.000 0.000 0.000
Ga: 0.500 0.500 0.500



No. 18
Below is crystalline SrSn5Te7 at its relaxed geometry, with properties calculated at the PBE level.

Properties
- Magnetization: 0.00 μB per cell
- Formation energy from raw total energies: -460 meV per atom
- Symmetry: No. 36

Lattice parameters (Å, degrees): 4.517 7.736 26.190 89.99 90.00 106.97
Fractional positions:
Sr: 0.797 0.594 0.250
Sr: 0.204 0.407 0.750
Sn: 0.000 0.001 0.000
Sn: 0.729 0.458 0.926
Sn: 0.272 0.545 0.074
Sn: 0.541 0.082 0.352
Sn: 0.459 0.918 0.648
Sn: 0.000 0.000 0.500
Sn: 0.272 0.543 0.426
Sn: 0.728 0.456 0.574
Sn: 0.460 0.919 0.852
Sn: 0.542 0.083 0.148
Te: 0.457 0.913 0.250
Te: 0.544 0.088 0.750
Te: 0.636 0.271 0.036
Te: 0.365 0.731 0.964
Te: 0.365 0.729 0.536
Te: 0.635 0.270 0.464
Te: 0.178 0.355 0.176
Te: 0.824 0.647 0.824
Te: 0.823 0.646 0.676
Te: 0.177 0.354 0.324
Te: 0.901 0.801 0.110
Te: 0.101 0.201 0.889
Te: 0.100 0.200 0.610
Te: 0.900 0.800 0.389



No. 19
Below is crystalline ErRe4B2 at its relaxed geometry, with properties calculated at the PBE level.

Properties
- Magnetization: 0.00 μB per cell
- Formation energy from the elements: -0.608 eV/f.u.
- Symmetry: No. 65

Lattice parameters (Å, degrees): 3.888 3.931 7.046 106.20 90.00 90.00
Fractional positions:
Er: 0.000 0.000 0.000
Re: 0.500 0.825 0.651
Re: 0.000 0.687 0.374
Re: 0.500 0.175 0.349
Re: 0.000 0.313 0.626
B: 0.500 0.597 0.195
B: 0.500 0.403 0.805



No. 20
Below is crystalline LaZn2AsN at its relaxed geometry, with properties calculated at the PBE level.

Properties
- Energy above the lowest structure with this stoichiometry: 621 meV per atom
- Magnetization: 0.00 μB per cell
- Formation energy from raw total energies: 50 meV per atom
- Symmetry: No. 123

Lattice parameters (Å, degrees): 4.246 5.346 4.246 90.00 90.00 90.00
Fractional positions:
As: 0.000 0.500 0.000
N: 0.000 0.000 0.000
Zn: 0.000 0.000 0.500
Zn: 0.500 0.000 0.000
La: 0.500 0.500 0.500